Material: Dy2MgGa2Rh5
Method: DFT, PBE-GGA
State: relaxed

Properties
volume	343.7	Å³ per cell
formation energy from the elements	-0.752	eV/atom
N(E_F)	0.47	states/eV/atom
total moment	0.00	μB/f.u.
SG	P4/mbm, No. 127

Cell: 9.871 9.871 3.527 Å, 90.00 90.00 90.00°
Fractional positions:
Dy: 0.174 0.326 0.000
Dy: 0.326 0.826 0.000
Dy: 0.674 0.174 0.000
Dy: 0.826 0.674 0.000
Mg: 0.000 0.000 0.000
Mg: 0.500 0.500 0.000
Ga: 0.125 0.625 0.000
Ga: 0.375 0.125 0.000
Ga: 0.625 0.875 0.000
Ga: 0.875 0.375 0.000
Rh: 0.000 0.500 0.500
Rh: 0.068 0.795 0.500
Rh: 0.205 0.068 0.500
Rh: 0.295 0.568 0.500
Rh: 0.432 0.295 0.500
Rh: 0.500 0.000 0.500
Rh: 0.568 0.705 0.500
Rh: 0.705 0.432 0.500
Rh: 0.795 0.932 0.500
Rh: 0.932 0.205 0.500



Material: KBaMo3
Method: DFT, PBE-GGA
State: relaxed

Properties
volume	144.1	Å³ per cell
distance to the lowest polymorph of the same formula	0	meV/atom
formation energy from the elements	2.941	eV/atom
N(E_F)	0.98	states/eV/atom
total moment	9.14	μB/f.u.
SG	Pm-3m, No. 221

Cell: 5.243 5.243 5.243 Å, 90.00 90.00 90.00°
Fractional positions:
K: 0.000 0.000 0.000
Ba: 0.500 0.500 0.500
Mo: 0.000 0.000 0.500
Mo: 0.000 0.500 0.000
Mo: 0.500 0.000 0.000



Material: Tb2NdHo6Tm3
Method: DFT, PBE-GGA
State: relaxed

Properties
volume	373.8	Å³ per cell
formation energy from the elements	0.021	eV/atom
N(E_F)	1.35	states/eV/atom
total moment	0.00	μB/f.u.
SG	C2/m, No. 12

Cell: 6.117 6.117 11.705 Å, 94.98 94.98 119.94°
Fractional positions:
Tb: 0.167 0.833 0.000
Tb: 0.833 0.167 0.000
Nd: 0.500 0.500 0.000
Ho: 0.081 0.415 0.747
Ho: 0.251 0.251 0.253
Ho: 0.415 0.081 0.747
Ho: 0.585 0.919 0.253
Ho: 0.749 0.749 0.747
Ho: 0.919 0.585 0.253
Tm: 0.000 0.000 0.500
Tm: 0.333 0.667 0.500
Tm: 0.667 0.333 0.500



Material: Ho6TeC2
Method: DFT, PBE-GGA
State: relaxed

Properties
volume	226.3	Å³ per cell
E_form (uncorrected)	-326	meV/atom
N(E_F)	0.62	states/eV/atom
total moment	0.00	μB/f.u.
SG	C2/m, No. 12

Cell: 6.912 6.912 8.631 Å, 121.19 121.19 41.22°
Fractional positions:
Ho: 0.038 0.038 0.196
Ho: 0.311 0.311 0.939
Ho: 0.335 0.335 0.417
Ho: 0.665 0.665 0.583
Ho: 0.689 0.689 0.061
Ho: 0.962 0.962 0.804
Te: 0.000 0.000 0.500
C: 0.182 0.182 0.094
C: 0.818 0.818 0.906



Material: Nd2Er2Hg7
Method: DFT, PBE-GGA
State: relaxed

Properties
volume	325.7	Å³ per cell
formation energy from the elements	-0.149	eV/atom
N(E_F)	0.63	states/eV/atom
total moment	0.00	μB/f.u.
SG	Cmmm, No. 65

Cell: 6.777 6.777 7.826 Å, 90.00 90.00 115.00°
Fractional positions:
Nd: 0.244 0.244 0.000
Nd: 0.756 0.756 0.000
Er: 0.265 0.735 0.500
Er: 0.735 0.265 0.500
Hg: 0.000 0.000 0.500
Hg: 0.000 0.500 0.191
Hg: 0.000 0.500 0.809
Hg: 0.500 0.000 0.191
Hg: 0.500 0.000 0.809
Hg: 0.500 0.500 0.314
Hg: 0.500 0.500 0.686



Material: Tl2ReSi
Method: DFT, PBE-GGA
State: relaxed

Properties
volume	157.7	Å³ per cell
distance to the lowest polymorph of the same formula	753	meV/atom
E_form (uncorrected)	1106	meV/atom
N(E_F)	1.03	states/eV/atom
total moment	0.46	μB/f.u.
SG	I-4m2, No. 119

Cell: 4.347 4.347 8.347 Å, 90.00 90.00 90.00°
Fractional positions:
Tl: 0.000 0.000 0.000
Tl: 0.000 0.500 0.250
Tl: 0.500 0.000 0.750
Tl: 0.500 0.500 0.500
Re: 0.000 0.500 0.750
Re: 0.500 0.000 0.250
Si: 0.000 0.000 0.500
Si: 0.500 0.500 0.000



Material: LiPu
Method: DFT, PBE-GGA
State: relaxed

Properties
volume	71.9	Å³ per cell
formation energy from the elements	0.248	eV/atom
N(E_F)	1.64	states/eV/atom
total moment	0.00	μB/f.u.
SG	P2_1/m, No. 11

Cell: 2.763 3.833 6.833 Å, 90.00 96.24 90.00°
Fractional positions:
Li: 0.248 0.250 0.391
Li: 0.752 0.750 0.609
Pu: 0.348 0.250 0.916
Pu: 0.652 0.750 0.084



Material: Nb2AlCo2
Method: DFT, PBE-GGA
State: relaxed

Properties
volume	164.6	Å³ per cell
formation energy from the elements	0.093	eV/atom
N(E_F)	0.96	states/eV/atom
total moment	0.00	μB/f.u.
SG	I4/mmm, No. 139

Cell: 4.215 4.215 9.267 Å, 90.00 90.00 90.00°
Fractional positions:
Nb: 0.000 0.500 0.250
Nb: 0.000 0.500 0.750
Nb: 0.500 0.000 0.250
Nb: 0.500 0.000 0.750
Al: 0.000 0.000 0.000
Al: 0.500 0.500 0.500
Co: 0.000 0.000 0.384
Co: 0.000 0.000 0.616
Co: 0.500 0.500 0.116
Co: 0.500 0.500 0.884



Please write out number 4 again, unchanged.
Material: Ho6TeC2
Method: DFT, PBE-GGA
State: relaxed

Properties
volume	226.3	Å³ per cell
E_form (uncorrected)	-326	meV/atom
N(E_F)	0.62	states/eV/atom
total moment	0.00	μB/f.u.
SG	C2/m, No. 12

Cell: 6.912 6.912 8.631 Å, 121.19 121.19 41.22°
Fractional positions:
Ho: 0.038 0.038 0.196
Ho: 0.311 0.311 0.939
Ho: 0.335 0.335 0.417
Ho: 0.665 0.665 0.583
Ho: 0.689 0.689 0.061
Ho: 0.962 0.962 0.804
Te: 0.000 0.000 0.500
C: 0.182 0.182 0.094
C: 0.818 0.818 0.906



What is the formula in the sixth record?
Tl2ReSi